{
  "formula": "TbHfIn",
  "functional": "PBE-GGA",
  "state": "relaxed",
  "total_magnetization_mub_per_cell": 0.06,
  "volume_a3_per_atom": 28.7,
  "polymorph_energy_mev_per_atom": 0,
  "energy_ev_per_cell": -16.6,
  "lattice": [[0.000, 3.506, 3.506], [3.506, 0.000, 3.506], [3.506, 3.506, 0.000]],
  "species": ["Hf", "Tb", "In"],
  "frac_coords": [[0.250, 0.250, 0.250], [0.750, 0.750, 0.750], [0.000, 0.000, 0.000]]
}